Record 1
Below is NdNp2F11 after structural relaxation, with properties calculated at the PBE-GGA level.

Cell: 8.465 8.792 8.792 Å, 72.90 61.22 61.22°
Last column: magnetic moment on the atom in μB.
Sites, in units of the cell vectors:
Nd 0.750 0.750 0.750  0.00
Nd 0.250 0.250 0.250  0.00
Np 0.650 0.681 0.319  3.02
Np 0.350 0.319 0.681  3.02
Np 0.850 0.181 0.819  3.02
Np 0.150 0.819 0.181  3.02
F 0.644 0.705 0.565  -0.01
F 0.356 0.295 0.435  -0.01
F 0.087 0.565 0.705  -0.01
F 0.856 0.935 0.795  -0.01
F 0.913 0.435 0.295  -0.01
F 0.144 0.065 0.205  -0.01
F 0.413 0.795 0.935  -0.01
F 0.587 0.205 0.065  -0.01
F 0.500 0.500 0.500  -0.01
F 0.000 0.000 0.000  -0.01
F 0.872 0.784 0.216  -0.01
F 0.128 0.216 0.784  -0.01
F 0.628 0.284 0.716  -0.01
F 0.372 0.716 0.284  -0.01
F 0.451 0.960 0.321  -0.01
F 0.549 0.040 0.679  -0.01
F 0.269 0.321 0.960  -0.01
F 0.049 0.179 0.540  -0.01
F 0.731 0.679 0.040  -0.01
F 0.951 0.821 0.460  -0.01
F 0.231 0.540 0.179  -0.01
F 0.769 0.460 0.821  -0.01

Computed properties:
Formation energy (no corrections) (eV per atom): -3.646
Space-group type: Ibam (72)

---

Record 2
Below is Nd2NpF8 after structural relaxation, with properties calculated at the PBE-GGA level.

Cell: 3.899 6.668 6.836 Å, 119.19 106.57 90.00°
Last column: magnetic moment on the atom in μB.
Sites, in units of the cell vectors:
Np 0.500 0.000 0.000  4.51
Nd 0.185 0.685 0.369  0.12
Nd 0.815 0.315 0.631  0.12
F 0.662 0.877 0.324  0.00
F 0.338 0.554 0.676  0.00
F 0.150 0.150 0.300  -0.01
F 0.000 0.309 0.000  0.00
F 0.850 0.850 0.700  -0.01
F 0.662 0.446 0.324  0.00
F 0.338 0.123 0.676  0.00
F 0.000 0.691 0.000  0.00

Computed properties:
Formation energy (no corrections) (eV per atom): -3.611
Space-group type: Immm (71)

---

Record 3
Below is Nd3NpO6F2 after structural relaxation, with properties calculated at the PBE-GGA level.

Cell: 4.854 6.955 7.049 Å, 119.56 87.29 90.00°
Last column: magnetic moment on the atom in μB.
Sites, in units of the cell vectors:
Nd 0.000 0.500 0.000  0.00
Nd 0.500 0.500 0.500  0.01
Nd 0.500 0.000 0.500  0.01
Np 0.500 0.000 0.000  2.21
O 0.720 0.315 0.149  -0.04
O 0.280 0.685 0.851  -0.04
O 0.702 0.841 0.682  -0.04
O 0.298 0.159 0.318  -0.04
O 0.280 0.166 0.851  -0.04
O 0.720 0.834 0.149  -0.04
F 0.232 0.671 0.343  0.00
F 0.768 0.329 0.657  0.00

Computed properties:
Formation energy (no corrections) (eV per atom): -3.231
Space-group type: C2/m (12)

---

Record 4
Below is NdOF after structural relaxation, with properties calculated at the PBE-GGA level.

Cell: 3.998 3.998 3.998 Å, 60.00 60.00 60.00°
Sites, in units of the cell vectors:
Nd 0.000 0.000 0.000
O 0.250 0.250 0.250
F 0.750 0.750 0.750

Computed properties:
Formation energy (no corrections) (eV per atom): -3.729
Space-group type: F-43m (216)